Ta2BeMo GGA-PBE optimized geometry; energy of formation from the pure elements = 41 kJ/mol of formula units; total DFT energy (no corrections) = -37.8 eV for the cell shown; magnetic moment = 0.0 Bohr magnetons per cell
1.0
2.725 0.000 0.000
0.000 2.725 0.000
0.000 0.000 8.318
Ta Be Mo
2 1 1
Direct
0.000 0.000 0.038 Ta
0.000 0.000 0.462 Ta
0.500 0.500 0.250 Be
0.500 0.500 0.750 Mo



TaBeMo2 GGA-PBE optimized geometry; energy of formation from the pure elements = 63 kJ/mol of formula units; total DFT energy (no corrections) = -36.6 eV for the cell shown; magnetic moment = 0.0 Bohr magnetons per cell
1.0
-1.595 0.979 -1.932
-1.687 -2.066 0.346
-4.147 4.327 5.615
Mo Ta Be
2 1 1
Direct
0.000 0.000 0.962 Mo
0.500 0.500 0.246 Mo
0.000 0.000 0.537 Ta
0.500 0.500 0.755 Be



Ta2BeMo GGA-PBE optimized geometry; energy of formation from the pure elements = 58 kJ/mol of formula units; total DFT energy (no corrections) = -37.7 eV for the cell shown; magnetic moment = 0.0 Bohr magnetons per cell
1.0
5.197 0.009 -0.017
-2.230 4.694 -0.017
0.460 0.729 2.597
Mo Be Ta
1 1 2
Direct
0.000 0.500 0.500 Mo
0.500 0.000 0.500 Be
0.000 0.000 0.000 Ta
0.500 0.500 0.000 Ta



TaBeMo2 GGA-PBE optimized geometry; energy of formation from the pure elements = 56 kJ/mol of formula units; total DFT energy (no corrections) = -36.7 eV for the cell shown; magnetic moment = 0.0 Bohr magnetons per cell
1.0
-3.508 -2.496 1.379
-0.370 -2.608 -3.674
3.814 0.585 2.356
Mo Be Ta
2 1 1
Direct
0.250 0.750 0.500 Mo
0.000 0.000 0.000 Mo
0.750 0.250 0.500 Be
0.500 0.500 0.000 Ta



TaBeMo GGA-PBE optimized geometry; E above lowest polymorph = 126.9 meV/atom; energy of formation from the pure elements = -13 kJ/mol of formula units; total DFT energy (no corrections) = -106.2 eV for the cell shown; magnetic moment = 0.0 Bohr magnetons per cell
1.0
-0.940 2.968 -3.826
1.699 -3.532 -3.158
-6.480 -2.682 -0.488
Be Mo Ta
4 4 4
Direct
0.250 0.750 0.250 Be
0.250 0.250 0.750 Be
0.750 0.250 0.750 Be
0.750 0.750 0.250 Be
0.000 0.000 0.000 Mo
0.000 0.500 0.000 Mo
0.500 0.000 0.500 Mo
0.500 0.500 0.500 Mo
0.500 0.750 0.879 Ta
0.000 0.750 0.621 Ta
0.500 0.250 0.121 Ta
0.000 0.250 0.379 Ta



TaBeMo GGA-PBE optimized geometry; E above lowest polymorph = 0.0 meV/atom; energy of formation from the pure elements = -50 kJ/mol of formula units; total DFT energy (no corrections) = -107.7 eV for the cell shown; magnetic moment = 0.0 Bohr magnetons per cell
1.0
-3.510 3.330 0.186
-1.254 -1.632 5.542
3.848 3.942 2.032
Ta Be Mo
4 4 4
Direct
0.250 0.843 0.222 Ta
0.750 0.157 0.222 Ta
0.750 0.343 0.722 Ta
0.250 0.657 0.722 Ta
0.000 0.000 0.568 Be
0.000 0.500 0.068 Be
0.500 0.500 0.068 Be
0.500 0.000 0.568 Be
0.750 0.674 0.396 Mo
0.250 0.326 0.396 Mo
0.250 0.174 0.896 Mo
0.750 0.826 0.896 Mo



TaBeMo GGA-PBE optimized geometry; E above lowest polymorph = 27.0 meV/atom; energy of formation from the pure elements = -42 kJ/mol of formula units; total DFT energy (no corrections) = -214.8 eV for the cell shown; magnetic moment = 0.0 Bohr magnetons per cell
1.0
8.348 0.000 0.000
0.000 8.241 0.000
0.000 0.000 4.870
Mo Ta Be
8 8 8
Direct
0.839 0.000 0.500 Mo
0.661 0.000 0.000 Mo
0.161 0.500 0.000 Mo
0.661 0.500 0.500 Mo
0.339 0.000 0.000 Mo
0.839 0.500 0.000 Mo
0.161 0.000 0.500 Mo
0.339 0.500 0.500 Mo
0.000 0.336 0.500 Ta
0.000 0.164 0.000 Ta
0.500 0.336 0.000 Ta
0.500 0.664 0.000 Ta
0.000 0.836 0.000 Ta
0.000 0.664 0.500 Ta
0.500 0.164 0.500 Ta
0.500 0.836 0.500 Ta
0.750 0.750 0.750 Be
0.750 0.750 0.250 Be
0.250 0.750 0.750 Be
0.250 0.250 0.750 Be
0.250 0.250 0.250 Be
0.250 0.750 0.250 Be
0.750 0.250 0.250 Be
0.750 0.250 0.750 Be



Ta3BeMo GGA-PBE optimized geometry; E above lowest polymorph = 0.0 meV/atom; energy of formation from the pure elements = 321 kJ/mol of formula units; total DFT energy (no corrections) = -46.8 eV for the cell shown; magnetic moment = 0.0 Bohr magnetons per cell
1.0
-4.118 1.051 1.140
0.722 -1.566 4.048
1.372 3.975 1.293
Ta Be Mo
3 1 1
Direct
0.000 0.500 0.000 Ta
0.500 0.000 0.000 Ta
0.000 0.000 0.500 Ta
0.000 0.000 0.000 Be
0.500 0.500 0.500 Mo